Entry 1:
A relaxed structure of PmCd11In. Source: Alexandria, functional PBE.

Geometry as CIF:
```
data_PmCd11In
_symmetry_space_group_name_H-M 'P 1'
_symmetry_Int_Tables_number 1
_symmetry_space_group_name_Hall 'P 1'
_cell_length_a 6.018
_cell_length_b 7.678
_cell_length_c 7.725
_cell_angle_alpha 81.27
_cell_angle_beta 67.07
_cell_angle_gamma 67.05
loop_
_atom_site_label
_atom_site_type_symbol
_atom_site_fract_x
_atom_site_fract_y
_atom_site_fract_z
Pm1 Pm 0.000 0.000 0.000
Cd1 Cd 0.281 0.209 0.212
Cd2 Cd 0.719 0.791 0.788
Cd3 Cd 0.507 0.791 0.212
Cd4 Cd 0.493 0.209 0.788
Cd5 Cd 0.350 0.649 0.645
Cd6 Cd 0.650 0.351 0.355
Cd7 Cd 0.005 0.351 0.645
Cd8 Cd 0.995 0.649 0.355
Cd9 Cd 0.000 0.500 0.000
Cd10 Cd 0.500 0.000 0.500
Cd11 Cd 0.000 0.000 0.500
In1 In 0.500 0.500 0.000
```


Entry 2:
A relaxed structure of Pm6CdIn5. Source: Alexandria, functional PBE.

Geometry as CIF:
```
data_Pm6CdIn5
_symmetry_space_group_name_H-M 'P 1'
_symmetry_Int_Tables_number 1
_symmetry_space_group_name_Hall 'P 1'
_cell_length_a 5.446
_cell_length_b 9.425
_cell_length_c 9.425
_cell_angle_alpha 120.04
_cell_angle_beta 106.78
_cell_angle_gamma 106.78
loop_
_atom_site_label
_atom_site_type_symbol
_atom_site_fract_x
_atom_site_fract_y
_atom_site_fract_z
Cd1 Cd 0.000 0.000 0.000
In1 In 0.500 0.164 0.836
In2 In 0.000 0.334 0.666
In3 In 0.500 0.500 0.500
In4 In 0.000 0.666 0.334
In5 In 0.500 0.836 0.164
Pm1 Pm 0.249 0.083 0.416
Pm2 Pm 0.751 0.584 0.917
Pm3 Pm 0.749 0.249 0.249
Pm4 Pm 0.251 0.751 0.751
Pm5 Pm 0.249 0.416 0.083
Pm6 Pm 0.751 0.917 0.584
```


Entry 3:
A relaxed structure of PmCd3In3. Source: Alexandria, functional PBE.

Geometry as CIF:
```
data_PmCd3In3
_symmetry_space_group_name_H-M 'P 1'
_symmetry_Int_Tables_number 1
_symmetry_space_group_name_Hall 'P 1'
_cell_length_a 7.807
_cell_length_b 7.807
_cell_length_c 7.807
_cell_angle_alpha 90.00
_cell_angle_beta 90.00
_cell_angle_gamma 90.00
loop_
_atom_site_label
_atom_site_type_symbol
_atom_site_fract_x
_atom_site_fract_y
_atom_site_fract_z
Cd1 Cd 0.000 0.250 0.500
Cd2 Cd 0.000 0.750 0.500
Cd3 Cd 0.500 0.000 0.750
Cd4 Cd 0.750 0.500 0.000
Cd5 Cd 0.500 0.000 0.250
Cd6 Cd 0.250 0.500 0.000
In1 In 0.250 0.000 0.500
In2 In 0.000 0.500 0.250
In3 In 0.500 0.750 0.000
In4 In 0.750 0.000 0.500
In5 In 0.000 0.500 0.750
In6 In 0.500 0.250 0.000
Pm1 Pm 0.500 0.500 0.500
Pm2 Pm 0.000 0.000 0.000
```


Entry 4:
A relaxed structure of Pm8CdIn6. Source: Alexandria, functional PBE.

Geometry as CIF:
```
data_Pm8CdIn6
_symmetry_space_group_name_H-M 'P 1'
_symmetry_Int_Tables_number 1
_symmetry_space_group_name_Hall 'P 1'
_cell_length_a 9.332
_cell_length_b 9.332
_cell_length_c 8.329
_cell_angle_alpha 55.93
_cell_angle_beta 55.93
_cell_angle_gamma 60.00
loop_
_atom_site_label
_atom_site_type_symbol
_atom_site_fract_x
_atom_site_fract_y
_atom_site_fract_z
Pm1 Pm 0.629 0.151 0.337
Pm2 Pm 0.849 0.117 0.663
Pm3 Pm 0.117 0.371 0.663
Pm4 Pm 0.709 0.709 0.872
Pm5 Pm 0.291 0.291 0.128
Pm6 Pm 0.883 0.629 0.337
Pm7 Pm 0.151 0.883 0.337
Pm8 Pm 0.371 0.849 0.663
Cd1 Cd 0.000 0.000 0.000
In1 In 0.412 0.083 0.840
In2 In 0.917 0.335 0.160
In3 In 0.335 0.588 0.160
In4 In 0.665 0.412 0.840
In5 In 0.083 0.665 0.840
In6 In 0.588 0.917 0.160
```


Number 1: M_tot 0.000 μB/atom, energy of formation from the pure elements -0.084 eV per atom. Number 2: M_tot 0.000 μB/atom, energy of formation from the pure elements -0.475 eV per atom. Number 3: M_tot 0.000 μB/atom, energy of formation from the pure elements 0.393 eV per atom. Number 4: M_tot 0.000 μB/atom, energy of formation from the pure elements -0.236 eV per atom.